This record from Alexandria via LeMat-Bulk describes a geometry-optimized KNb8O14 structure. The functional is PBE.

Output
Total energy = -8.917 eV per atom
ΔE_f (raw) = -2.35 eV per atom

```
46
Lattice="9.4861 0.0000 0.0000 0.0000 10.3935 0.0000 0.0000 0.0000 5.9860" Properties=species:S:1:pos:R:3 pbc="T T T"
K 0.0000 0.0000 0.0000
K 4.7430 5.1968 0.0000
Nb 1.0563 1.6937 2.9930
Nb 1.1511 6.9189 0.0000
Nb 1.2070 4.4096 1.4116
Nb 1.2070 4.4096 4.5744
Nb 3.5361 9.6063 1.4116
Nb 3.5361 9.6063 4.5744
Nb 3.5920 1.7221 0.0000
Nb 3.6867 6.8904 2.9930
Nb 5.7994 3.5031 2.9930
Nb 5.8941 8.6714 0.0000
Nb 5.9500 0.7872 1.4116
Nb 5.9500 0.7872 4.5744
Nb 8.2791 5.9840 1.4116
Nb 8.2791 5.9840 4.5744
Nb 8.3350 3.4746 0.0000
Nb 8.4297 8.6999 2.9930
O 0.0000 0.0000 2.9930
O 0.0000 5.1968 2.9930
O 0.0416 2.5798 1.4914
O 0.0416 2.5798 4.4946
O 2.2133 3.3561 2.9930
O 2.3422 0.9281 1.5207
O 2.3422 0.9281 4.4653
O 2.3513 8.7514 0.0000
O 2.3917 3.5546 0.0000
O 2.4008 6.1249 1.5207
O 2.4008 6.1249 4.4653
O 2.5297 8.5529 2.9930
O 4.7014 7.7765 1.4914
O 4.7014 7.7765 4.4946
O 4.7430 0.0000 2.9930
O 4.7430 5.1968 2.9930
O 4.7847 2.6170 1.4914
O 4.7847 2.6170 4.4946
O 6.9564 1.8406 2.9930
O 7.0852 4.2686 1.5207
O 7.0852 4.2686 4.4653
O 7.0943 6.8389 0.0000
O 7.1348 1.6421 0.0000
O 7.1439 9.4654 1.5207
O 7.1439 9.4654 4.4653
O 7.2727 7.0374 2.9930
O 9.4444 7.8138 1.4914
O 9.4444 7.8138 4.4946
```

---

This record from Alexandria via LeMat-Bulk describes a geometry-optimized Na2PmHfTe4 structure. The functional is PBE.

Output
Total energy = -4.786 eV per atom
ΔE_f (raw) = -1.05 eV per atom

```
8
Lattice="7.4855 0.0000 0.0000 0.0000 4.2744 0.0000 -2.4391 0.0000 7.6799" Properties=species:S:1:pos:R:3 pbc="T T T"
Na 0.0000 0.0000 0.0000
Na 3.7427 2.1372 0.0000
Pm -1.2195 2.1372 3.8399
Hf 2.5232 0.0000 3.8399
Te 0.1824 0.0000 5.6455
Te 1.3988 2.1372 2.1159
Te 3.6475 2.1372 5.5640
Te 4.8640 0.0000 2.0344
```

---

This record from Alexandria via LeMat-Bulk describes a geometry-optimized Be2NiMo structure. The functional is PBE.

Output
DFT formation energy = -0.223 eV/atom
Total energy = -6.239 eV per atom

```
4
Lattice="2.6612 0.0000 0.0000 0.0000 2.6725 0.0000 0.0000 0.0000 5.9194" Properties=species:S:1:pos:R:3 pbc="T T T"
Be 0.0000 0.0000 1.2159
Be 0.0000 0.0000 4.7035
Ni 1.3306 1.3363 0.0000
Mo 1.3306 1.3363 2.9597
```

---

This record from Alexandria via LeMat-Bulk describes a geometry-optimized YHgBr2 structure. The functional is PBE.

Output
Total energy = -3.590 eV per atom
ΔE_f (raw) = -1.06 eV per atom

```
4
Lattice="3.9141 0.0000 0.0000 0.0000 4.0564 0.0000 -0.0143 0.0000 10.5265" Properties=species:S:1:pos:R:3 pbc="T T T"
Y 0.0000 0.0000 0.0000
Hg 1.9499 0.0000 5.2633
Br 0.0053 2.0282 1.9345
Br 3.8945 2.0282 8.5920
```

---

This record from Alexandria via LeMat-Bulk describes a geometry-optimized Pm4DyTh3S8 structure. The functional is PBE.

Output
Total energy = -6.879 eV per atom
ΔE_f (raw) = -1.95 eV per atom

```
16
Lattice="4.0091 2.3146 6.6036 -4.0091 2.3146 6.6036 0.0000 -4.6293 6.6036" Properties=species:S:1:pos:R:3 pbc="T T T"
Pm 0.0000 0.0000 0.0000
Pm -2.0045 -1.1573 6.6036
Pm -2.0045 1.1573 13.2073
Pm 0.0000 2.3146 6.6036
Dy 0.0000 0.0000 9.9055
Th -4.0091 0.0000 9.9055
Th -2.0045 1.1573 3.3018
Th 2.0045 1.1573 3.3018
S 0.0000 0.0000 4.9762
S 0.0000 -2.2703 8.2707
S -1.9662 1.1352 8.2707
S -1.9662 -1.1352 11.5403
S 1.9662 1.1352 8.2706
S 1.9662 -1.1352 11.5403
S 0.0000 2.2703 11.5403
S 0.0000 0.0000 14.8348
```

---

This record from Alexandria via LeMat-Bulk describes a geometry-optimized CePmI structure. The functional is PBE.

Output
Total energy = -4.230 eV per atom
ΔE_f (raw) = -0.15 eV per atom

```
3
Lattice="5.4803 0.0000 0.0000 -2.7402 4.7461 0.0000 0.0000 0.0000 3.7455" Properties=species:S:1:pos:R:3 pbc="T T T"
Ce 0.0000 0.0000 0.0000
Pm 2.7402 1.5820 1.8719
I 0.0000 3.1641 1.8667
```

---

This record from Alexandria via LeMat-Bulk describes a geometry-optimized PmSm2Cu3 structure. The functional is PBE.

Output
DFT formation energy = -0.173 eV/atom
Total energy = -4.586 eV per atom

```
12
Lattice="2.5014 -7.5183 0.0000 2.5014 7.5183 0.0000 0.0000 0.0000 7.1736" Properties=species:S:1:pos:R:3 pbc="T T T"
Pm 2.5014 5.0146 0.0000
Pm 2.5014 -5.0146 0.0000
Sm 2.5014 5.0096 3.5868
Sm 2.5014 0.0000 0.0000
Sm 2.5014 0.0000 3.5868
Sm 2.5014 -5.0096 3.5868
Cu 0.0000 0.0000 1.8092
Cu 0.0000 0.0000 5.3644
Cu 2.5014 2.4928 1.8135
Cu 2.5014 2.4928 5.3601
Cu 2.5014 -2.4928 1.8135
Cu 2.5014 -2.4928 5.3601
```

---

This record from Alexandria via LeMat-Bulk describes a geometry-optimized CoCuOs2 structure. The functional is PBE.

Output
DFT formation energy = 0.231 eV/atom
Total energy = -8.184 eV per atom

```
4
Lattice="1.3297 0.7677 8.5511 -1.3297 0.7677 8.5511 0.0000 -1.5354 8.5511" Properties=species:S:1:pos:R:3 pbc="T T T"
Co 0.0000 0.0000 0.0000
Cu 0.0000 0.0000 12.8267
Os 0.0000 0.0000 6.4905
Os 0.0000 0.0000 19.1629
```

---

This record from Alexandria via LeMat-Bulk describes a geometry-optimized DyHoOsPt structure. The functional is PBE.

Output
DFT formation energy = -0.674 eV/atom
Total energy = -7.286 eV per atom

```
4
Lattice="0.0000 3.4359 3.4359 3.4359 0.0000 3.4359 3.4359 3.4359 0.0000" Properties=species:S:1:pos:R:3 pbc="T T T"
Dy 0.0000 0.0000 0.0000
Ho 3.4359 3.4359 3.4359
Os 1.7179 1.7179 1.7179
Pt 5.1538 5.1538 5.1538
```

---

This record from Alexandria via LeMat-Bulk describes a geometry-optimized K3MgH structure. The functional is PBE.

Output
Total energy = -1.554 eV per atom

```
5
Lattice="5.7784 0.0000 0.0000 0.0000 5.7784 0.0000 0.0000 0.0000 5.7784" Properties=species:S:1:pos:R:3 pbc="T T T"
K 0.0000 0.0000 2.8892
K 0.0000 2.8892 0.0000
K 2.8892 0.0000 0.0000
Mg 2.8892 2.8892 2.8892
H 0.0000 0.0000 0.0000
```

---

> Among the records above, which one has the lowest total energy?

KNb8O14